A plane-wave DFT calculation with GGA-PBE was carried out for a geometry-optimized Tl3Hg5Au2 structure.

```
20
Lattice="1.2495 6.0806 -1.8037 -4.6930 6.2016 6.0717 8.0150 3.2065 4.7778" Properties=species:S:1:pos:R:3 pbc="T T T"
Tl -1.8128 8.0090 2.5759
Tl 0.3124 1.5201 -0.4509
Tl -0.4263 12.2723 6.3251
Tl 0.9371 4.5604 -1.3528
Tl 6.3843 7.4797 6.4699
Tl 4.9977 3.2163 2.7207
Hg 3.0554 9.9986 6.8638
Hg 5.4640 10.2964 3.7441
Hg 1.5161 5.4900 2.1821
Hg 2.4306 6.9583 7.7656
Hg -0.8926 5.1922 5.3017
Hg 1.9734 6.2242 4.9738
Hg 4.7159 7.0579 3.8924
Hg 2.5981 9.2645 4.0720
Hg -0.1444 8.4307 5.1534
Hg 2.1408 8.5303 1.2802
Au 4.6823 8.4984 8.7254
Au 2.6248 3.1579 0.8801
Au 1.9466 12.3307 8.1657
Au -0.1108 6.9902 0.3204
```

**Total energy**: -30.0 eV per cell
**DFT formation energy**: 0.02 eV/atom
**D(E_F)**: 3.6 states/eV/f.u.